# 1
Entry from Alexandria: a relaxed ThZn12Pd6 crystal (GGA-PBE).

```
data_ThZn12Pd6
_chemical_formula_sum 'Th3 Zn36 Pd18'
_symmetry_space_group_name_H-M 'R -3 m'
_symmetry_Int_Tables_number 166
_symmetry_space_group_name_Hall '-R 3 2"'
_cell_length_a 11.2849
_cell_length_b 11.2849
_cell_length_c 8.7466
_cell_angle_alpha 90.00
_cell_angle_beta 90.00
_cell_angle_gamma 120.00
loop_
_atom_site_label
_atom_site_type_symbol
_atom_site_fract_x
_atom_site_fract_y
_atom_site_fract_z
Th1 Th 0.0000 0.0000 0.0000
Zn1 Zn 0.0000 0.3901 0.5000
Zn2 Zn 0.0855 0.1709 0.3070
Pd1 Pd 0.0480 0.5240 0.2444
```

Properties
* DFT total energy: -0.11562 hartree per atom
* spin magnetization: 0.00 μB per cell

=====

# 2
Entry from Alexandria: a relaxed LaHoErTl crystal (GGA-PBE).

```
data_LaHoErTl
_chemical_formula_sum 'La4 Ho4 Er4 Tl4'
_symmetry_space_group_name_H-M 'F -4 3 m'
_symmetry_Int_Tables_number 216
_symmetry_space_group_name_Hall 'F -4 2 3'
_cell_length_a 7.8462
_cell_length_b 7.8462
_cell_length_c 7.8462
_cell_angle_alpha 90.00
_cell_angle_beta 90.00
_cell_angle_gamma 90.00
loop_
_atom_site_label
_atom_site_type_symbol
_atom_site_fract_x
_atom_site_fract_y
_atom_site_fract_z
La1 La 0.0000 0.0000 0.0000
Ho1 Ho 0.2500 0.2500 0.7500
Er1 Er 0.0000 0.0000 0.5000
Tl1 Tl 0.2500 0.2500 0.2500
```

Properties
* DFT total energy: -0.15307 hartree per atom
* spin magnetization: 4.71 μB per cell

=====

# 3
Entry from Alexandria: a relaxed BaSiW2 crystal (GGA-PBE).

```
data_BaSiW2
_chemical_formula_sum 'Ba1 Si1 W2'
_symmetry_space_group_name_H-M 'P 1 2/m 1'
_symmetry_Int_Tables_number 10
_symmetry_space_group_name_Hall '-P 2y'
_cell_length_a 2.9512
_cell_length_b 4.6325
_cell_length_c 6.6406
_cell_angle_alpha 90.00
_cell_angle_beta 92.30
_cell_angle_gamma 90.00
loop_
_atom_site_label
_atom_site_type_symbol
_atom_site_fract_x
_atom_site_fract_y
_atom_site_fract_z
Ba1 Ba 0.0000 0.0000 0.0000
Si1 Si 0.5000 0.0000 0.5000
W1 W 0.3301 0.5000 0.3354
```

Properties
* distance to the lowest polymorph of the same formula: 2.069 eV per formula unit
* formation energy without anion corrections: 0.93 eV/atom
* spin magnetization: 0.00 μB per cell

=====

# 4
Entry from Alexandria: a relaxed Mg2Mo crystal (GGA-PBE).

```
data_Mg2Mo
_chemical_formula_sum 'Mg2 Mo1'
_symmetry_space_group_name_H-M 'P -3 m 1'
_symmetry_Int_Tables_number 164
_symmetry_space_group_name_Hall '-P 3 2"'
_cell_length_a 2.9420
_cell_length_b 2.9420
_cell_length_c 7.4153
_cell_angle_alpha 90.00
_cell_angle_beta 90.00
_cell_angle_gamma 120.00
loop_
_atom_site_label
_atom_site_type_symbol
_atom_site_fract_x
_atom_site_fract_y
_atom_site_fract_z
Mg1 Mg 0.3333 0.6667 0.3187
Mo1 Mo 0.0000 0.0000 0.0000
```

Properties
* distance to the lowest polymorph of the same formula: 0.310 eV per formula unit
* spin magnetization: 0.00 μB per cell

=====

# 5
Entry from Alexandria: a relaxed Ta2ZnCu crystal (GGA-PBE).

```
data_Ta2ZnCu
_chemical_formula_sum 'Ta2 Zn1 Cu1'
_symmetry_space_group_name_H-M 'P 4 m m'
_symmetry_Int_Tables_number 99
_symmetry_space_group_name_Hall 'P 4 -2'
_cell_length_a 2.8130
_cell_length_b 2.8130
_cell_length_c 7.9521
_cell_angle_alpha 90.00
_cell_angle_beta 90.00
_cell_angle_gamma 90.00
loop_
_atom_site_label
_atom_site_type_symbol
_atom_site_fract_x
_atom_site_fract_y
_atom_site_fract_z
Ta1 Ta 0.0000 0.0000 0.0000
Ta2 Ta 0.5000 0.5000 0.2921
Zn1 Zn 0.0000 0.0000 0.5510
Cu1 Cu 0.5000 0.5000 0.7567
```

Properties
* DFT total energy: -0.26697 hartree per atom
* spin magnetization: 0.00 μB per cell

=====

# 6
Entry from Alexandria: a relaxed Ba3Nb2O7 crystal (GGA-PBE).

```
data_Ba3Nb2O7
_chemical_formula_sum 'Ba6 Nb4 O14'
_symmetry_space_group_name_H-M 'C m m m'
_symmetry_Int_Tables_number 65
_symmetry_space_group_name_Hall '-C 2 2'
_cell_length_a 4.1562
_cell_length_b 23.1880
_cell_length_c 4.1072
_cell_angle_alpha 90.00
_cell_angle_beta 90.00
_cell_angle_gamma 90.00
loop_
_atom_site_label
_atom_site_type_symbol
_atom_site_fract_x
_atom_site_fract_y
_atom_site_fract_z
Ba1 Ba 0.0000 0.0000 0.0000
Ba2 Ba 0.0000 0.1743 0.0000
Nb1 Nb 0.0000 0.4091 0.5000
O1 O 0.0000 0.0905 0.5000
O2 O 0.0000 0.3205 0.5000
O3 O 0.0000 0.4093 0.0000
O4 O 0.0000 0.5000 0.5000
```

Properties
* formation energy without anion corrections: -2.65 eV/atom
* spin magnetization: 0.00 μB per cell

=====

# 7
Entry from Alexandria: a relaxed PmTm2Th crystal (GGA-PBE).

```
data_PmTm2Th
_chemical_formula_sum 'Pm1 Tm2 Th1'
_symmetry_space_group_name_H-M 'P 4/m m m'
_symmetry_Int_Tables_number 123
_symmetry_space_group_name_Hall '-P 4 2'
_cell_length_a 5.0548
_cell_length_b 5.0548
_cell_length_c 4.9326
_cell_angle_alpha 90.00
_cell_angle_beta 90.00
_cell_angle_gamma 90.00
loop_
_atom_site_label
_atom_site_type_symbol
_atom_site_fract_x
_atom_site_fract_y
_atom_site_fract_z
Pm1 Pm 0.0000 0.0000 0.0000
Tm1 Tm 0.0000 0.5000 0.5000
Th1 Th 0.5000 0.5000 0.0000
```

Properties
* distance to the lowest polymorph of the same formula: 0.089 eV per formula unit
* spin magnetization: 0.00 μB per cell

=====

# 8
Entry from Alexandria: a relaxed DyGa3CoIr crystal (GGA-PBE).

```
data_DyGa3CoIr
_chemical_formula_sum 'Dy4 Ga12 Co4 Ir4'
_symmetry_space_group_name_H-M 'C m c m'
_symmetry_Int_Tables_number 63
_symmetry_space_group_name_Hall '-C 2c 2'
_cell_length_a 7.8300
_cell_length_b 10.4674
_cell_length_c 5.4349
_cell_angle_alpha 90.00
_cell_angle_beta 90.00
_cell_angle_gamma 90.00
loop_
_atom_site_label
_atom_site_type_symbol
_atom_site_fract_x
_atom_site_fract_y
_atom_site_fract_z
Dy1 Dy 0.0000 0.2087 0.2500
Ga1 Ga 0.0000 0.3208 0.7500
Ga2 Ga 0.2486 0.5000 0.0000
Co1 Co 0.0000 0.4604 0.2500
Ir1 Ir 0.0000 0.0876 0.7500
```

Properties
* DFT total energy: -0.19525 hartree per atom
* spin magnetization: 0.00 μB per cell

=====

# 9
Entry from Alexandria: a relaxed BaAgO3 crystal (GGA-PBE).

```
data_BaAgO3
_chemical_formula_sum 'Ba2 Ag2 O6'
_symmetry_space_group_name_H-M 'P -1'
_symmetry_Int_Tables_number 2
_symmetry_space_group_name_Hall '-P 1'
_cell_length_a 3.9929
_cell_length_b 6.4328
_cell_length_c 6.4346
_cell_angle_alpha 95.67
_cell_angle_beta 93.09
_cell_angle_gamma 92.55
loop_
_atom_site_label
_atom_site_type_symbol
_atom_site_fract_x
_atom_site_fract_y
_atom_site_fract_z
Ba1 Ba 0.0421 0.2148 0.2748
Ag1 Ag 0.4791 0.2352 0.7809
O1 O 0.0014 0.5859 0.0825
O2 O 0.3960 0.4938 0.5880
O3 O 0.5000 0.0000 0.0000
O4 O 0.5000 0.0000 0.5000
```

Properties
* formation energy without anion corrections: -1.08 eV/atom
* spin magnetization: 0.00 μB per cell

=====

# 10
Entry from Alexandria: a relaxed Zr3AlIn2 crystal (GGA-PBE).

```
data_Zr3AlIn2
_chemical_formula_sum 'Zr3 Al1 In2'
_symmetry_space_group_name_H-M 'P 4/m m m'
_symmetry_Int_Tables_number 123
_symmetry_space_group_name_Hall '-P 4 2'
_cell_length_a 3.1113
_cell_length_b 3.1113
_cell_length_c 13.1582
_cell_angle_alpha 90.00
_cell_angle_beta 90.00
_cell_angle_gamma 90.00
loop_
_atom_site_label
_atom_site_type_symbol
_atom_site_fract_x
_atom_site_fract_y
_atom_site_fract_z
Zr1 Zr 0.0000 0.0000 0.0000
Zr2 Zr 0.0000 0.0000 0.3478
Al1 Al 0.5000 0.5000 0.5000
In1 In 0.5000 0.5000 0.1726
```

Properties
* DFT total energy: -0.22683 hartree per atom
* spin magnetization: 0.00 μB per cell

=====

# 11
Entry from Alexandria: a relaxed Pd2RhPb2 crystal (GGA-PBE).

```
data_Pd2RhPb2
_chemical_formula_sum 'Pd4 Rh2 Pb4'
_symmetry_space_group_name_H-M 'P 4/m b m'
_symmetry_Int_Tables_number 127
_symmetry_space_group_name_Hall '-P 4 2ab'
_cell_length_a 7.4497
_cell_length_b 7.4497
_cell_length_c 3.5686
_cell_angle_alpha 90.00
_cell_angle_beta 90.00
_cell_angle_gamma 90.00
loop_
_atom_site_label
_atom_site_type_symbol
_atom_site_fract_x
_atom_site_fract_y
_atom_site_fract_z
Pd1 Pd 0.1309 0.3691 0.0000
Rh1 Rh 0.0000 0.0000 0.0000
Pb1 Pb 0.1731 0.6731 0.5000
```

Properties
* DFT total energy: -0.18243 hartree per atom
* spin magnetization: 0.00 μB per cell

=====

# 12
Entry from Alexandria: a relaxed GeIrCl2 crystal (GGA-PBE).

```
data_GeIrCl2
_chemical_formula_sum 'Ge4 Ir4 Cl8'
_symmetry_space_group_name_H-M 'I -4 2 d'
_symmetry_Int_Tables_number 122
_symmetry_space_group_name_Hall 'I -4 2bw'
_cell_length_a 4.3533
_cell_length_b 4.3533
_cell_length_c 16.7332
_cell_angle_alpha 90.00
_cell_angle_beta 90.00
_cell_angle_gamma 90.00
loop_
_atom_site_label
_atom_site_type_symbol
_atom_site_fract_x
_atom_site_fract_y
_atom_site_fract_z
Ge1 Ge 0.0000 0.0000 0.0000
Ir1 Ir 0.0000 0.0000 0.5000
Cl1 Cl 0.2187 0.2500 0.6250
```

Properties
* distance to the lowest polymorph of the same formula: 0.000 eV per formula unit
* formation energy without anion corrections: 0.48 eV/atom
* spin magnetization: 0.74 μB per cell

=====

Copy entry 2 word for word.
Entry from Alexandria: a relaxed LaHoErTl crystal (GGA-PBE).

```
data_LaHoErTl
_chemical_formula_sum 'La4 Ho4 Er4 Tl4'
_symmetry_space_group_name_H-M 'F -4 3 m'
_symmetry_Int_Tables_number 216
_symmetry_space_group_name_Hall 'F -4 2 3'
_cell_length_a 7.8462
_cell_length_b 7.8462
_cell_length_c 7.8462
_cell_angle_alpha 90.00
_cell_angle_beta 90.00
_cell_angle_gamma 90.00
loop_
_atom_site_label
_atom_site_type_symbol
_atom_site_fract_x
_atom_site_fract_y
_atom_site_fract_z
La1 La 0.0000 0.0000 0.0000
Ho1 Ho 0.2500 0.2500 0.7500
Er1 Er 0.0000 0.0000 0.5000
Tl1 Tl 0.2500 0.2500 0.2500
```

Properties
* DFT total energy: -0.15307 hartree per atom
* spin magnetization: 4.71 μB per cell